# 1
# ZnCdCu2

A crystal of ZnCdCu2 relaxed with PBEsol (SCAN, Alexandria via LeMat-Bulk).

DOS(E_F)	1.1	states/eV/cell
raw total energy	-74.14	eV per cell

Lattice parameters (Å, degrees): 4.4404 4.4404 2.8851 90.00 90.00 101.09
Last column: nearest neighbours and their distance in Å.
Fractional positions:
Zn (0.0000, 0.0000, 0.0000)  8 Cu 2.65, 2 Cd 2.82, 2 Zn 2.89
Cd (0.5000, 0.5000, 0.0000)  8 Cu 2.65, 2 Zn 2.82, 2 Cd 2.89
Cu (0.0000, 0.5000, 0.5000)  4 Cd 2.65, 4 Zn 2.65, 4 Cu 2.82-2.89
Cu (0.5000, 0.0000, 0.5000)  4 Cd 2.65, 4 Zn 2.65, 4 Cu 2.82-2.89

=====

# 2
# NaSmAu2

A crystal of NaSmAu2 relaxed with PBEsol (SCAN, Alexandria via LeMat-Bulk).

DOS(E_F)	1.9	states/eV/cell
raw total energy	-190.03	eV per cell

Lattice parameters (Å, degrees): 4.9575 4.9575 4.9575 60.00 60.00 60.00
Last column: nearest neighbours and their distance in Å.
Fractional positions:
Na (0.0000, 0.0000, 0.0000)  8 Au 3.04
Sm (0.5000, 0.5000, 0.5000)  8 Au 3.04
Au (0.2500, 0.2500, 0.2500)  4 Na 3.04, 4 Sm 3.04
Au (0.7500, 0.7500, 0.7500)  4 Na 3.04, 4 Sm 3.04

=====

# 3
# SnHgMo2

A crystal of SnHgMo2 relaxed with PBEsol (SCAN, Alexandria via LeMat-Bulk).

DOS(E_F)	3.0	states/eV/cell
raw total energy	-171.19	eV per cell

Lattice parameters (Å, degrees): 4.6092 4.6092 4.6092 60.00 60.00 60.00
Last column: nearest neighbours and their distance in Å.
Fractional positions:
Sn (0.0000, 0.0000, 0.0000)  8 Mo 2.82
Hg (0.5000, 0.5000, 0.5000)  8 Mo 2.82
Mo (0.2500, 0.2500, 0.2500)  4 Hg 2.82, 4 Sn 2.82
Mo (0.7500, 0.7500, 0.7500)  4 Hg 2.82, 4 Sn 2.82

=====

# 4
# CaIn2RuS

A crystal of CaIn2RuS relaxed with PBEsol (SCAN, Alexandria via LeMat-Bulk).

DOS(E_F)	3.5	states/eV/cell
E_form (uncorrected)	3.7	kcal/mol of atoms

Lattice parameters (Å, degrees): 5.3348 5.3348 4.2820 90.00 90.00 90.00
Last column: nearest neighbours and their distance in Å.
Fractional positions:
Ca (0.0000, 0.0000, 0.0000)  8 In 3.42, 4 Ru 3.77
In (0.0000, 0.5000, 0.5000)  2 S 2.67
In (0.5000, 0.0000, 0.5000)  2 S 2.67
Ru (0.5000, 0.5000, 0.0000)  2 S 2.14
S (0.5000, 0.5000, 0.5000)  2 Ru 2.14

=====

# 5
# ZrSc2Se

A crystal of ZrSc2Se relaxed with PBEsol (SCAN, Alexandria via LeMat-Bulk).

DOS(E_F)	4.4	states/eV/cell
E_form (uncorrected)	-17.9	kcal/mol of atoms

Lattice parameters (Å, degrees): 8.8056 8.8056 8.8056 22.36 22.36 22.36
Last column: nearest neighbours and their distance in Å.
Fractional positions:
Zr (0.0000, 0.0000, 0.0000)  6 Sc 3.17, 6 Zr 3.41
Sc (0.2369, 0.2369, 0.2369)  3 Se 2.68
Sc (0.7631, 0.7631, 0.7631)  3 Se 2.68
Se (0.5000, 0.5000, 0.5000)  6 Sc 2.68

=====

# 6
# MgTiSi4O10

A crystal of MgTiSi4O10 relaxed with PBEsol (SCAN, Alexandria via LeMat-Bulk).

DOS(E_F)	25.8	states/eV/cell
E_form (uncorrected)	-66.6	kcal/mol of atoms

Lattice parameters (Å, degrees): 7.2649 7.2649 14.8888 90.00 90.00 90.00
Last column: nearest neighbours and their distance in Å.
Fractional positions:
Mg (0.2500, 0.7500, 0.0000)  4 O 2.10
Mg (0.2500, 0.7500, 0.5000)  4 O 2.10
Mg (0.7500, 0.2500, 0.0000)  4 O 2.10
Mg (0.7500, 0.2500, 0.5000)  4 O 2.10
Ti (0.2500, 0.2500, 0.0690)  4 O 2.05
Ti (0.2500, 0.2500, 0.5690)  4 O 2.05
Ti (0.7500, 0.7500, 0.4310)  4 O 2.05
Ti (0.7500, 0.7500, 0.9310)  4 O 2.05
Si (0.0112, 0.5905, 0.1453)  4 O 1.62-1.63
Si (0.0112, 0.9095, 0.6453)  4 O 1.62-1.63
Si (0.0905, 0.5112, 0.3547)  4 O 1.62-1.63
Si (0.0905, 0.9888, 0.8547)  4 O 1.62-1.63
Si (0.4095, 0.5112, 0.8547)  4 O 1.62-1.63
Si (0.4095, 0.9888, 0.3547)  4 O 1.62-1.63
Si (0.4888, 0.5905, 0.6453)  4 O 1.62-1.63
Si (0.4888, 0.9095, 0.1453)  4 O 1.62-1.63
Si (0.5112, 0.0905, 0.8547)  4 O 1.62-1.63
Si (0.5112, 0.4095, 0.3547)  4 O 1.62-1.63
Si (0.5905, 0.0112, 0.6453)  4 O 1.62-1.63
Si (0.5905, 0.4888, 0.1453)  4 O 1.62-1.63
Si (0.9095, 0.0112, 0.1453)  4 O 1.62-1.63
Si (0.9095, 0.4888, 0.6453)  4 O 1.62-1.63
Si (0.9888, 0.0905, 0.3547)  4 O 1.62-1.63
Si (0.9888, 0.4095, 0.8547)  4 O 1.62-1.63
O (0.0013, 0.6888, 0.6252)  2 Si 1.63
O (0.0013, 0.8112, 0.1252)  2 Si 1.63
O (0.0193, 0.6641, 0.4257)  1 Si 1.62
O (0.0193, 0.8359, 0.9257)  1 Si 1.62
O (0.0619, 0.5619, 0.2500)  2 Si 1.62
O (0.0619, 0.9381, 0.7500)  2 Si 1.62
O (0.1641, 0.5193, 0.0743)  1 Si 1.62
O (0.1641, 0.9807, 0.5743)  1 Si 1.62
O (0.1888, 0.5013, 0.8748)  2 Si 1.63
O (0.1888, 0.9987, 0.3748)  2 Si 1.63
O (0.3112, 0.5013, 0.3748)  2 Si 1.63
O (0.3112, 0.9987, 0.8748)  2 Si 1.63
O (0.3359, 0.5193, 0.5743)  1 Si 1.62
O (0.3359, 0.9807, 0.0743)  1 Si 1.62
O (0.4381, 0.5619, 0.7500)  2 Si 1.62
O (0.4381, 0.9381, 0.2500)  2 Si 1.62
O (0.4807, 0.6641, 0.9257)  1 Si 1.62
O (0.4807, 0.8359, 0.4257)  1 Si 1.62
O (0.4987, 0.6888, 0.1252)  2 Si 1.63
O (0.4987, 0.8112, 0.6252)  2 Si 1.63
O (0.5013, 0.1888, 0.3748)  2 Si 1.63
O (0.5013, 0.3112, 0.8748)  2 Si 1.63
O (0.5193, 0.1641, 0.5743)  1 Si 1.62
O (0.5193, 0.3359, 0.0743)  1 Si 1.62
O (0.5619, 0.0619, 0.7500)  2 Si 1.62
O (0.5619, 0.4381, 0.2500)  2 Si 1.62
O (0.6641, 0.0193, 0.9257)  1 Si 1.62
O (0.6641, 0.4807, 0.4257)  1 Si 1.62
O (0.6888, 0.0013, 0.1252)  2 Si 1.63
O (0.6888, 0.4987, 0.6252)  2 Si 1.63
O (0.8112, 0.0013, 0.6252)  2 Si 1.63
O (0.8112, 0.4987, 0.1252)  2 Si 1.63
O (0.8359, 0.0193, 0.4257)  1 Si 1.62
O (0.8359, 0.4807, 0.9257)  1 Si 1.62
O (0.9381, 0.0619, 0.2500)  2 Si 1.62
O (0.9381, 0.4381, 0.7500)  2 Si 1.62
O (0.9807, 0.1641, 0.0743)  1 Si 1.62
O (0.9807, 0.3359, 0.5743)  1 Si 1.62
O (0.9987, 0.1888, 0.8748)  2 Si 1.63
O (0.9987, 0.3112, 0.3748)  2 Si 1.63

=====

# 7
# Mn2CoSi

A crystal of Mn2CoSi relaxed with PBEsol (SCAN, Alexandria via LeMat-Bulk).

DOS(E_F)	1.6	states/eV/cell
E_form (uncorrected)	-8.8	kcal/mol of atoms

Lattice parameters (Å, degrees): 2.7760 2.7760 5.5503 90.00 90.00 90.00
Last column: nearest neighbours and their distance in Å.
Fractional positions:
Mn (0.0000, 0.0000, 0.0000)  4 Mn 2.38, 4 Si 2.42
Mn (0.5000, 0.5000, 0.2417)  4 Mn 2.38, 4 Co 2.47
Co (0.0000, 0.0000, 0.5130)  4 Si 2.35, 4 Mn 2.47
Si (0.5000, 0.5000, 0.7452)  4 Co 2.35, 4 Mn 2.42

=====

# 8
# CaTi4S8

A crystal of CaTi4S8 relaxed with PBEsol (SCAN, Alexandria via LeMat-Bulk).

DOS(E_F)	6.2	states/eV/cell
E_form (uncorrected)	-37.4	kcal/mol of atoms
energy relative to the lowest polymorph listed for this composition	52	meV/atom

Lattice parameters (Å, degrees): 7.0049 7.0049 7.0049 61.17 61.17 61.17
Last column: nearest neighbours and their distance in Å.
Fractional positions:
Ca (0.0000, 0.0000, 0.0000)  6 S 2.62
Ti (0.0000, 0.5000, 0.5000)  6 S 2.45-2.46
Ti (0.5000, 0.0000, 0.5000)  6 S 2.45-2.46
Ti (0.5000, 0.5000, 0.0000)  6 S 2.45-2.46
Ti (0.5000, 0.5000, 0.5000)  6 S 2.38
S (0.2553, 0.2553, 0.2553)  3 Ti 2.45
S (0.2615, 0.2615, 0.7308)  3 Ti 2.38-2.46, 1 Ca 2.62
S (0.2615, 0.7308, 0.2615)  3 Ti 2.38-2.46, 1 Ca 2.62
S (0.2692, 0.7385, 0.7385)  3 Ti 2.38-2.46, 1 Ca 2.62
S (0.7308, 0.2615, 0.2615)  3 Ti 2.38-2.46, 1 Ca 2.62
S (0.7385, 0.2692, 0.7385)  3 Ti 2.38-2.46, 1 Ca 2.62
S (0.7385, 0.7385, 0.2692)  3 Ti 2.38-2.46, 1 Ca 2.62
S (0.7447, 0.7447, 0.7447)  3 Ti 2.45